Record 1
# GGA-PBEsol Y2InTe, optimized geometry
data_Y2InTe
_symmetry_space_group_name_H-M 'P 4/m m m'
_symmetry_Int_Tables_number 123
_symmetry_space_group_name_Hall '-P 4 2'
_cell_length_a 5.390
_cell_length_b 5.390
_cell_length_c 3.609
_cell_angle_alpha 90.00
_cell_angle_beta 90.00
_cell_angle_gamma 90.00
loop_
_atom_site_label
_atom_site_type_symbol
_atom_site_fract_x
_atom_site_fract_y
_atom_site_fract_z
Y1 Y 0.000 0.500 0.000
In1 In 0.000 0.000 0.500
Te1 Te 0.500 0.500 0.500
# Spin magnetization = 0.00 μB per atom
# N(E_F) = 4.39 states/eV per cell
# Crystal system = tetragonal

---

Record 2
# GGA-PBEsol IrOsBr2N, optimized geometry
data_IrOsBr2N
_symmetry_space_group_name_H-M 'P 4/m m m'
_symmetry_Int_Tables_number 123
_symmetry_space_group_name_Hall '-P 4 2'
_cell_length_a 5.104
_cell_length_b 5.104
_cell_length_c 4.757
_cell_angle_alpha 90.00
_cell_angle_beta 90.00
_cell_angle_gamma 90.00
loop_
_atom_site_label
_atom_site_type_symbol
_atom_site_fract_x
_atom_site_fract_y
_atom_site_fract_z
Ir1 Ir 0.000 0.000 0.000
Os1 Os 0.000 0.000 0.500
Br1 Br 0.000 0.500 0.000
N1 N 0.500 0.500 0.500
# Spin magnetization = 1.06 μB per atom
# N(E_F) = 5.34 states/eV per cell
# Crystal system = tetragonal

---

| no. | raw formation energy (eV/atom) |
| --- | --- |
| 1 | -0.7465 |
| 2 | 2.3347 |